1.
Density functional theory data (PBE-GGA) for a relaxed structure of Ga2TeS6.

Unit cell a=7.202 b=9.134 c=9.134 alpha=75.18 beta=78.45 gamma=78.45
Each line ends with the local moment (μB).
Element x y z (fractional)
S 0.386 0.468 0.975  0.20
Te 0.750 0.919 0.081  0.00
Ga 0.216 0.220 0.317  0.00
S 0.886 0.975 0.468  0.20
S 0.114 0.025 0.532  0.20
S 0.614 0.532 0.025  0.20
Ga 0.716 0.317 0.220  0.00
S 0.677 0.972 0.831  0.00
S 0.532 0.738 0.594  0.03
Ga 0.784 0.780 0.683  0.00
S 0.468 0.262 0.406  0.03
S 0.323 0.028 0.169  0.00
Ga 0.284 0.683 0.780  0.00
Te 0.250 0.081 0.919  0.00
S 0.032 0.594 0.738  0.03
S 0.823 0.169 0.028  0.00
S 0.177 0.831 0.972  0.00
S 0.968 0.406 0.262  0.03

Properties
The magnetic moment comes out at 1.550 Bohr magnetons per cell. For the formation energy (no corrections), the calculation gives -185 meV per atom. As for the crystal system: monoclinic. The electronic total energy is -3.958 eV/atom. As for the space group: C2/c, No. 15.

2.
Density functional theory data (PBE-GGA) for a relaxed structure of GaTeS4.

Unit cell a=3.803 b=4.928 c=7.234 alpha=98.77 beta=90.00 gamma=90.00
Element x y z (fractional)
Ga 0.000 0.000 0.000
S 0.000 0.232 0.315
S 0.500 0.315 0.913
Te 0.500 0.000 0.500
S 0.500 0.685 0.087
S 0.000 0.768 0.685

Properties
The magnetic moment comes out at 0.000 Bohr magnetons per cell. For the formation energy (no corrections), the calculation gives -89 meV per atom. The calculation puts the energy above the lowest structure with this stoichiometry at 0.0000 eV per atom. As for the crystal system: monoclinic. The electronic total energy is -3.869 eV/atom. As for the space group: P2/m, No. 10.

- What is the formation energy (no corrections) in the first record?
  -185 meV per atom

- Among the records above, which one has the highest formation energy (no corrections)?
  GaTeS4

- Which of these has the lowest magnetic moment?
  GaTeS4

- Which of these has the lowest electronic total energy?
  Ga2TeS6